1.
Below is Ba5Na4Pd after structural relaxation, with properties calculated at the PBE-GGA level.

Calculated values
Formation energy, eV/f.u.: -1.06
DOS at the Fermi energy, states/eV/atom: 0.806
Uncorrected energy, eV/atom: -2.114
M_tot, μB per formula unit: 0.0

Cell lengths 12.7480, 12.7480, 6.2985 Å; angles 90.00, 90.00, 90.00 degrees
With the nearest neighbours (Å) after each atom.
Space group I4/mmm (No. 139)
Inequivalent atoms, fractional coordinates:
Ba: 0.0000 0.0000 0.0000  2 Pd 3.15
Ba: 0.1721 0.1721 0.5000  1 Pd 3.10
Na: 0.0000 0.3467 0.0000  5 Na 3.91-4.19, 2 Ba 4.19
Pd: 0.0000 0.0000 0.5000  6 Ba 3.10-3.15



2.
Below is Ba4NaPd after structural relaxation, with properties calculated at the PBE-GGA level.

Calculated values
Formation energy, eV/f.u.: -1.07
DOS at the Fermi energy, states/eV/atom: 0.756
Uncorrected energy, eV/atom: -2.546
M_tot, μB per formula unit: 0.0

Cell lengths 6.5590, 22.7167, 8.6535 Å; angles 90.00, 90.00, 90.00 degrees
With the nearest neighbours (Å) after each atom.
Space group Cmc2_1 (No. 36)
Inequivalent atoms, fractional coordinates:
Ba: 0.0000 0.0212 0.0000  2 Pd 3.15-3.16
Ba: 0.0000 0.1718 0.6033  1 Pd 3.09
Ba: 0.0000 0.2097 0.1034  1 Pd 3.11
Ba: 0.0000 0.4015 0.8178  2 Pd 3.28
Na: 0.0000 0.3785 0.3354  8 Ba 4.01-4.49
Pd: 0.0000 0.0968 0.3058  6 Ba 3.09-3.28



3.
Below is BaNa6Pd2 after structural relaxation, with properties calculated at the PBE-GGA level.

Calculated values
Formation energy, eV/f.u.: -1.06
DOS at the Fermi energy, states/eV/atom: 0.444
Uncorrected energy, eV/atom: -2.365
M_tot, μB per formula unit: 0.0

Cell lengths 4.6561, 4.6561, 12.5901 Å; angles 90.00, 90.00, 90.00 degrees
With the nearest neighbours (Å) after each atom.
Space group P4/mmm (No. 123)
Inequivalent atoms, fractional coordinates:
Ba: 0.0000 0.0000 0.0000  8 Pd 3.55
Na: 0.0000 0.0000 0.5000  4 Na 3.29
Na: 0.0000 0.5000 0.2572  2 Pd 3.01, 4 Na 3.29
Na: 0.5000 0.5000 0.5000  4 Na 3.29
Pd: 0.5000 0.5000 0.1058  1 Pd 2.66



4.
Below is Ba2NaPd2 after structural relaxation, with properties calculated at the PBE-GGA level.

Calculated values
Formation energy, eV/f.u.: -1.85
DOS at the Fermi energy, states/eV/atom: 0.514
Uncorrected energy, eV/atom: -3.479
M_tot, μB per formula unit: 0.0

Cell lengths 11.3864, 6.3014, 8.8837 Å; angles 90.00, 104.66, 90.00 degrees
With the nearest neighbours (Å) after each atom.
Space group C2/c (No. 15)
Inequivalent atoms, fractional coordinates:
Ba: 0.1489 0.1493 0.1490  6 Pd 3.36-3.55, 1 Na 3.65
Na: 0.0000 0.3776 0.7500  4 Pd 2.99-3.04
Pd: 0.1448 0.3504 0.5058  1 Pd 2.73, 2 Na 2.99-3.04



5.
Below is Ba2NaPd2 after structural relaxation, with properties calculated at the PBE-GGA level.

Calculated values
Formation energy, eV/f.u.: -0.99
DOS at the Fermi energy, states/eV/atom: 0.508
Uncorrected energy, eV/atom: -3.309
M_tot, μB per formula unit: 0.0

Cell lengths 4.0901, 4.0901, 21.7041 Å; angles 90.00, 90.00, 90.00 degrees
With the nearest neighbours (Å) after each atom.
Space group I4/mmm (No. 139)
Inequivalent atoms, fractional coordinates:
Ba: 0.0000 0.0000 0.1419  4 Pd 3.11
Na: 0.0000 0.0000 0.5000  4 Na 4.09, 8 Ba 4.22
Pd: 0.0000 0.5000 0.2500  4 Pd 2.89, 4 Ba 3.11



6.
Below is Ba5NaPd2 after structural relaxation, with properties calculated at the PBE-GGA level.

Calculated values
Formation energy, eV/f.u.: -2.42
DOS at the Fermi energy, states/eV/atom: 0.834
Uncorrected energy, eV/atom: -2.967
M_tot, μB per formula unit: 0.0

Cell lengths 4.8465, 8.4257, 17.7862 Å; angles 90.00, 90.00, 90.00 degrees
With the nearest neighbours (Å) after each atom.
Space group Immm (No. 71)
Inequivalent atoms, fractional coordinates:
Ba: 0.0000 0.0000 0.0000  2 Pd 3.33
Ba: 0.0000 0.2467 0.3414  3 Pd 3.27-3.44
Na: 0.0000 0.5000 0.0000  10 Ba 4.21-4.26
Pd: 0.0000 0.0000 0.1873  7 Ba 3.27-3.44



7.
Below is BaNa3Pd after structural relaxation, with properties calculated at the PBE-GGA level.

Calculated values
Formation energy, eV/f.u.: 0.18
DOS at the Fermi energy, states/eV/atom: 0.490
Uncorrected energy, eV/atom: -2.178
M_tot, μB per formula unit: 0.0

Cell lengths 5.6257, 5.6257, 5.6257 Å; angles 90.00, 90.00, 90.00 degrees
With the nearest neighbours (Å) after each atom.
Space group Pm-3m (No. 221)
Inequivalent atoms, fractional coordinates:
Ba: 0.0000 0.0000 0.0000  12 Na 3.98
Na: 0.0000 0.5000 0.5000  2 Pd 2.81
Pd: 0.5000 0.5000 0.5000  6 Na 2.81



8.
Below is Ba14Na6Pd3 after structural relaxation, with properties calculated at the PBE-GGA level.

Calculated values
Formation energy, eV/f.u.: -2.83
DOS at the Fermi energy, states/eV/atom: 0.834
Uncorrected energy, eV/atom: -2.315
M_tot, μB per formula unit: 0.0

Cell lengths 12.8739, 12.8739, 8.1413 Å; angles 90.00, 90.00, 120.00 degrees
With the nearest neighbours (Å) after each atom.
Space group P3m1 (No. 156)
Inequivalent atoms, fractional coordinates:
Ba: 0.0000 0.0000 0.0000  1 Pd 3.17
Ba: 0.1023 0.5512 0.3439  1 Pd 3.22
Ba: 0.2178 0.4356 0.8202  1 Pd 3.23
Ba: 0.2492 0.1246 0.5812  1 Pd 3.19
Ba: 0.4173 0.2086 0.0849  1 Pd 3.17
Ba: 0.6667 0.3333 0.5084  1 Pd 3.16
Na: 0.1317 0.2635 0.2764  1 Pd 3.08
Na: 0.5353 0.0706 0.7840  1 Pd 3.07
Pd: 0.0000 0.0000 0.3888  3 Na 3.08, 4 Ba 3.17-3.19
Pd: 0.3333 0.6667 0.5813  6 Ba 3.22-3.23
Pd: 0.6667 0.3333 0.8970  3 Na 3.07, 4 Ba 3.16-3.17